(1)
This record from the Alexandria database describes TaTi2Be2 at its PBEsol-relaxed geometry. The functional is SCAN.

Lattice parameters (Å, degrees): 2.9633 6.7588 6.7588 90.00 90.00 90.00
Fractional coordinates of all 10 atoms:
Be (0.0000, 0.3865, 0.8865)
Be (0.0000, 0.8865, 0.6135)
Be (0.0000, 0.6135, 0.1135)
Be (0.0000, 0.1135, 0.3865)
Ti (0.5000, 0.1801, 0.6801)
Ti (0.5000, 0.6801, 0.8199)
Ti (0.5000, 0.8199, 0.3199)
Ti (0.5000, 0.3199, 0.1801)
Ta (0.0000, 0.0000, 0.0000)
Ta (0.0000, 0.5000, 0.5000)

Properties
- Space group: P4/mbm, No. 127
- Theoretical density: 7.2 Mg/m³
- Electronic total energy: -0.7908 hartree per atom
- Crystal system: tetragonal
- Formation energy: -0.049 eV/atom


(2)
This record from the Alexandria database describes TaBeTl2 at its PBEsol-relaxed geometry. The functional is SCAN.

Lattice parameters (Å, degrees): 4.0217 4.2900 4.2900 90.00 90.00 90.00
Fractional coordinates of all 4 atoms:
Be (0.5000, 0.5000, 0.5000)
Tl (0.0000, 0.0000, 0.5000)
Tl (0.0000, 0.5000, 0.0000)
Ta (0.5000, 0.0000, 0.0000)

Properties
- Space group: P4/mmm, No. 123
- Theoretical density: 13.4 Mg/m³
- Electronic total energy: -1.9535 hartree per atom
- Crystal system: tetragonal
- Formation energy: 0.756 eV/atom


(3)
This record from the Alexandria database describes TaBeTl at its PBEsol-relaxed geometry. The functional is SCAN.

Lattice parameters (Å, degrees): 3.0133 3.0133 5.8450 104.94 104.94 90.00
Fractional coordinates of all 3 atoms:
Be (0.0101, 0.0101, 0.0203)
Tl (0.3469, 0.3469, 0.6938)
Ta (0.6430, 0.6430, 0.2859)

Properties
- Space group: I4mm, No. 107
- Theoretical density: 13.2 Mg/m³
- Electronic total energy: -1.7371 hartree per atom
- Crystal system: tetragonal
- Formation energy: 0.497 eV/atom


(4)
This record from the Alexandria database describes TaBeTl at its PBEsol-relaxed geometry. The functional is SCAN.

Lattice parameters (Å, degrees): 4.3713 4.3713 4.3713 60.00 60.00 60.00
Site moments in Bohr magnetons follow the coordinates.
Fractional coordinates of all 3 atoms:
Be (0.0000, 0.0000, 0.0000)  -0.01
Tl (0.2500, 0.2500, 0.2500)  0.01
Ta (0.5000, 0.5000, 0.5000)  0.37

Properties
- Space group: F-43m, No. 216
- Theoretical density: 11.1 Mg/m³
- Electronic total energy: -1.7087 hartree per atom
- Crystal system: cubic
- Formation energy: 1.268 eV/atom